No. 1
A relaxed AlCrPd2S crystal, computed with PBE.

E_form (uncorrected) (meV per atom): 931
Crystal system: tetragonal
Space-group type: P4/mmm
Density of states at the Fermi level (states/eV per cell): 4.62

Cell lengths 4.6231, 4.6231, 4.8212 Å; angles 90.00, 90.00, 90.00 degrees
Positions (direct):
Al 0.0000 0.0000 0.0000
Cr 0.0000 0.0000 0.5000
Pd 0.0000 0.5000 0.5000
Pd 0.5000 0.0000 0.5000
S 0.5000 0.5000 0.0000

No. 2
A relaxed Sr4HgPb crystal, computed with PBE.

Crystal system: cubic
Space-group type: F-43m
Energy of formation from the pure elements (eV per atom): 0.2305
Density of states at the Fermi level (states/eV per cell): 7.79
Energy above the lowest structure with this stoichiometry (meV per atom): 626.5

Cell lengths 7.1953, 7.1953, 7.1953 Å; angles 60.00, 60.00, 60.00 degrees
Positions (direct):
Sr 0.3757 0.3757 0.3757
Sr 0.3757 0.3757 0.8729
Sr 0.3757 0.8729 0.3757
Sr 0.8729 0.3757 0.3757
Hg 0.0000 0.0000 0.0000
Pb 0.7500 0.7500 0.7500

No. 3
A relaxed YPuCo crystal, computed with PBE.

Crystal system: tetragonal
Space-group type: P4/nmm
Energy of formation from the pure elements (eV per atom): 0.0262
Density of states at the Fermi level (states/eV per cell): 14.75
Energy above the lowest structure with this stoichiometry (meV per atom): 0.0

Cell lengths 4.1626, 4.1626, 7.5607 Å; angles 90.00, 90.00, 90.00 degrees
Positions (direct):
Y 0.2500 0.2500 0.1309
Y 0.7500 0.7500 0.8691
Pu 0.2500 0.7500 0.5000
Pu 0.7500 0.2500 0.5000
Co 0.2500 0.2500 0.7573
Co 0.7500 0.7500 0.2427

No. 4
A relaxed ErTl2Ge crystal, computed with PBE.

Crystal system: trigonal
Space-group type: R-3m
Energy of formation from the pure elements (eV per atom): 0.2177
Density of states at the Fermi level (states/eV per cell): 1.68

Cell lengths 11.1211, 11.1211, 11.1211 Å; angles 18.02, 18.02, 18.02 degrees
Positions (direct):
Er 0.0000 0.0000 0.0000
Tl 0.0944 0.0944 0.0944
Tl 0.9056 0.9056 0.9056
Ge 0.5000 0.5000 0.5000